Density functional theory data (PBE) for a relaxed structure of NaPaPbO4. Values from VASP.

formation energy from raw total energies = -2.4430 eV per atom
calculated total energy = -7.35 eV per atom

The structure in Quantum ESPRESSO input format:
```
&SYSTEM
  ibrav = 0, nat = 14, ntyp = 4
/
ATOMIC_SPECIES
Na 22.99 Na.upf
Pa 231.04 Pa.upf
Pb 207.20 Pb.upf
O 16.00 O.upf
ATOMIC_POSITIONS angstrom
Na 0.000 1.796 1.552
Na 3.569 1.796 3.626
Pa 3.569 0.000 0.000
Pa 0.000 0.000 5.178
Pb 1.785 1.796 -2.589
Pb 1.785 -1.796 2.589
O 3.569 -0.025 2.096
O 2.176 1.796 -0.038
O 4.962 1.796 -0.038
O 3.569 3.566 -2.096
O 0.000 0.025 7.275
O -1.393 1.796 5.217
O 1.393 1.796 5.217
O 0.000 3.617 3.082
CELL_PARAMETERS angstrom
-3.569 3.592 5.178
3.569 -3.592 5.178
3.569 3.592 -5.178
```